# Ac14LaIn (PBE, optimized geometry)
data_Ac14LaIn
_chemical_formula_sum 'Ac14 La1 In1'
_symmetry_space_group_name_H-M 'P 1'
_symmetry_Int_Tables_number 1
_cell_length_a 11.098
_cell_length_b 7.851
_cell_length_c 7.851
_cell_angle_alpha 90.00
_cell_angle_beta 90.00
_cell_angle_gamma 90.00
loop_
_symmetry_equiv_pos_as_xyz
'x,y,z'
loop_
_atom_site_label
_atom_site_type_symbol
_atom_site_fract_x
_atom_site_fract_y
_atom_site_fract_z
Ac1 Ac 0.000 0.000 0.000
Ac2 Ac 0.000 0.001 0.499
Ac3 Ac 0.000 0.499 0.001
Ac4 Ac 0.000 0.500 0.500
Ac5 Ac 0.257 0.747 0.747
Ac6 Ac 0.258 0.253 0.747
Ac7 Ac 0.258 0.747 0.253
Ac8 Ac 0.259 0.253 0.253
Ac9 Ac 0.500 0.501 0.999
Ac10 Ac 0.500 0.999 0.501
Ac11 Ac 0.741 0.253 0.253
Ac12 Ac 0.742 0.253 0.747
Ac13 Ac 0.742 0.747 0.253
Ac14 Ac 0.743 0.747 0.747
La1 La 0.500 0.000 0.000
In1 In 0.500 0.500 0.500
# E = -4.101 eV/atom
# Space group = Amm2, No. 38
# Formation energy from the elements = -0.027 eV/atom
# ρ = 8.33 g/cm³